Below is a relaxed structure of LaCd2Pd5, with properties calculated at the PBE level.

Calculated values
E_tot ... -4.66 eV per atom
Fermi-level density of states ... 0.39 states/eV per atom
Volume ... 18.32 A^3/atom
E_form ... -0.568 eV/atom

Cell: 8.575 8.575 4.273 Å, 104.37 104.37 28.85°
Fractional coordinates of all 8 atoms:
La (0.000, 0.000, 0.000)
Cd (0.253, 0.253, 0.253)
Cd (0.747, 0.747, 0.747)
Pd (0.131, 0.131, 0.631)
Pd (0.369, 0.369, 0.869)
Pd (0.500, 0.500, 0.500)
Pd (0.631, 0.631, 0.131)
Pd (0.869, 0.869, 0.369)

***

Below is a relaxed structure of LaCd2Pd2, with properties calculated at the PBE level.

Calculated values
E_tot ... -3.99 eV per atom
Fermi-level density of states ... 0.51 states/eV per atom
Volume ... 22.76 A^3/atom
Distance to the lowest polymorph of the same formula ... 0.1 meV per atom
E_form ... -0.565 eV/atom

Cell: 5.393 4.770 9.154 Å, 90.00 104.86 90.00°
Fractional coordinates of all 10 atoms:
La (0.166, 0.250, 0.273)
La (0.834, 0.750, 0.727)
Cd (0.250, 0.250, 0.646)
Cd (0.375, 0.750, 0.036)
Cd (0.625, 0.250, 0.964)
Cd (0.750, 0.750, 0.354)
Pd (0.103, 0.250, 0.923)
Pd (0.322, 0.750, 0.488)
Pd (0.678, 0.250, 0.512)
Pd (0.897, 0.750, 0.077)

***

Below is a relaxed structure of La3Cd2Pd3, with properties calculated at the PBE level.

Calculated values
E_tot ... -4.67 eV per atom
Fermi-level density of states ... 0.72 states/eV per atom
Volume ... 24.99 A^3/atom
E_form ... -0.646 eV/atom

Cell: 8.778 8.778 5.993 Å, 90.00 90.00 120.00°
Fractional coordinates of all 16 atoms:
La (0.000, 0.280, 0.250)
La (0.000, 0.720, 0.750)
La (0.280, 0.000, 0.250)
La (0.280, 0.280, 0.750)
La (0.720, 0.000, 0.750)
La (0.720, 0.720, 0.250)
Cd (0.333, 0.667, 0.000)
Cd (0.333, 0.667, 0.500)
Cd (0.667, 0.333, 0.000)
Cd (0.667, 0.333, 0.500)
Pd (0.000, 0.388, 0.750)
Pd (0.000, 0.612, 0.250)
Pd (0.388, 0.000, 0.750)
Pd (0.388, 0.388, 0.250)
Pd (0.612, 0.000, 0.250)
Pd (0.612, 0.612, 0.750)

***

Below is a relaxed structure of LaCdPd, with properties calculated at the PBE level.

Calculated values
E_tot ... -4.25 eV per atom
Fermi-level density of states ... 1.26 states/eV per atom
Volume ... 24.91 A^3/atom
E_form ... -0.570 eV/atom

Cell: 4.788 4.788 3.763 Å, 90.00 90.00 120.00°
Fractional coordinates of all 3 atoms:
La (0.000, 0.000, 0.000)
Cd (0.333, 0.667, 0.500)
Pd (0.667, 0.333, 0.500)

***

Below is a relaxed structure of LaCd3Pd3, with properties calculated at the PBE level.

Calculated values
E_tot ... -3.23 eV per atom
Fermi-level density of states ... 0.80 states/eV per atom
Volume ... 27.70 A^3/atom
Distance to the lowest polymorph of the same formula ... 581.8 meV per atom
E_form ... 0.089 eV/atom

Cell: 7.293 7.293 7.293 Å, 90.00 90.00 90.00°
Fractional coordinates of all 14 atoms:
La (0.000, 0.000, 0.000)
La (0.500, 0.500, 0.500)
Cd (0.000, 0.250, 0.500)
Cd (0.000, 0.750, 0.500)
Cd (0.250, 0.500, 0.000)
Cd (0.500, 0.000, 0.250)
Cd (0.500, 0.000, 0.750)
Cd (0.750, 0.500, 0.000)
Pd (0.000, 0.500, 0.250)
Pd (0.000, 0.500, 0.750)
Pd (0.250, 0.000, 0.500)
Pd (0.500, 0.250, 0.000)
Pd (0.500, 0.750, 0.000)
Pd (0.750, 0.000, 0.500)

***

Below is a relaxed structure of La2Cd3Pd, with properties calculated at the PBE level.

Calculated values
E_tot ... -3.45 eV per atom
Fermi-level density of states ... 0.69 states/eV per atom
Volume ... 26.06 A^3/atom
E_form ... -0.481 eV/atom

Cell: 3.660 4.955 8.623 Å, 90.00 90.00 90.00°
Fractional coordinates of all 6 atoms:
La (0.000, 0.000, 0.000)
La (0.000, 0.500, 0.449)
Cd (0.500, 0.000, 0.632)
Cd (0.500, 0.500, 0.136)
Cd (0.500, 0.500, 0.800)
Pd (0.500, 0.000, 0.301)

***

Below is a relaxed structure of LaCd3Pd3, with properties calculated at the PBE level.

Calculated values
E_tot ... -3.81 eV per atom
Fermi-level density of states ... 0.51 states/eV per atom
Volume ... 21.01 A^3/atom
Distance to the lowest polymorph of the same formula ... 0.0 meV per atom
E_form ... -0.493 eV/atom

Cell: 8.585 4.597 8.600 Å, 90.00 119.93 90.00°
Fractional coordinates of all 14 atoms:
La (0.167, 0.250, 0.333)
La (0.833, 0.750, 0.667)
Cd (0.257, 0.250, 0.983)
Cd (0.274, 0.750, 0.757)
Cd (0.483, 0.750, 0.226)
Cd (0.517, 0.250, 0.774)
Cd (0.726, 0.250, 0.243)
Cd (0.743, 0.750, 0.017)
Pd (0.053, 0.250, 0.608)
Pd (0.108, 0.750, 0.055)
Pd (0.443, 0.750, 0.552)
Pd (0.557, 0.250, 0.448)
Pd (0.892, 0.250, 0.945)
Pd (0.947, 0.750, 0.392)

***

Below is a relaxed structure of La2Cd9Pd3, with properties calculated at the PBE level.

Calculated values
E_tot ... -2.79 eV per atom
Fermi-level density of states ... 0.60 states/eV per atom
Volume ... 22.46 A^3/atom
E_form ... -0.381 eV/atom

Cell: 8.508 8.508 11.604 Å, 113.18 113.18 56.84°
Fractional coordinates of all 28 atoms:
La (0.113, 0.235, 0.237)
La (0.235, 0.113, 0.737)
La (0.765, 0.887, 0.263)
La (0.887, 0.765, 0.763)
Cd (0.029, 0.854, 0.090)
Cd (0.146, 0.971, 0.410)
Cd (0.190, 0.375, 0.566)
Cd (0.232, 0.560, 0.252)
Cd (0.311, 0.493, 0.948)
Cd (0.318, 0.682, 0.750)
Cd (0.375, 0.190, 0.066)
Cd (0.440, 0.768, 0.248)
Cd (0.493, 0.311, 0.448)
Cd (0.507, 0.689, 0.552)
Cd (0.560, 0.232, 0.752)
Cd (0.625, 0.810, 0.934)
Cd (0.682, 0.318, 0.250)
Cd (0.689, 0.507, 0.052)
Cd (0.768, 0.440, 0.748)
Cd (0.810, 0.625, 0.434)
Cd (0.854, 0.029, 0.590)
Cd (0.971, 0.146, 0.910)
Pd (0.000, 0.500, 0.000)
Pd (0.135, 0.683, 0.485)
Pd (0.317, 0.865, 0.015)
Pd (0.500, 0.000, 0.500)
Pd (0.683, 0.135, 0.985)
Pd (0.865, 0.317, 0.515)